(1)
Below is an optimized crystal structure of Y2HgSb, with properties calculated at the GGA-PBE level.

Structure (extended XYZ):
```
8
Lattice="2.081 -12.027 0.000 2.081 12.027 0.000 0.000 0.000 4.564" Properties=species:S:1:pos:R:3 pbc="T T T"
Y 2.081 10.468 3.423
Y 2.081 4.368 3.423
Y 2.081 -4.368 1.141
Y 2.081 -10.468 1.141
Hg 2.081 1.051 3.423
Hg 2.081 -1.051 1.141
Sb 2.081 7.461 3.423
Sb 2.081 -7.461 1.141
```

## Properties
Energy above the lowest structure with this stoichiometry = 0 meV/atom

=====

(2)
Below is an optimized crystal structure of Sm3GeSbBr, with properties calculated at the GGA-PBE level.

Structure (extended XYZ):
```
12
Lattice="7.519 0.000 0.000 0.000 4.256 0.000 -2.368 0.000 11.085" Properties=species:S:1:pos:R:3 pbc="T T T"
Sm -0.012 1.064 1.606
Sm 0.999 1.064 5.503
Sm 1.413 3.192 9.381
Sm 3.738 1.064 1.704
Sm 4.152 3.192 5.582
Sm 5.164 3.192 9.479
Ge -0.465 1.064 10.401
Ge 5.617 3.192 0.684
Sb 1.885 3.192 3.384
Sb 3.266 1.064 7.701
Br -0.569 3.192 6.969
Br 5.720 1.064 4.116
```

=====

In eV per atom, the uncorrected energy values for the records above are, in order, -5.125 -5.159.